Here is a relaxed structure of Ce2HoPbC from Alexandria via LeMat-Bulk. Energies are from PBE.

Cell: 4.959 4.982 4.982 Å, 90.00 90.00 90.00°
Each line ends with the local moment (μB).
Fractional positions:
1 Ce 0.000 0.000 0.500  0.56
2 Ce 0.000 0.500 0.000  0.56
3 Pb 0.500 0.500 0.500  -0.01
4 Ho 0.500 0.000 0.000  0.08
5 C 0.000 0.000 0.000  -0.04

- energy of formation (eV/f.u.) = -2.1
- total moment (μB/atom) = 0.28
- raw total energy (eV per cell) = -31.4